Entry 1:
The following is a DFT calculation (PBE) of NpAgAu after structural relaxation.

a b c (Å): 7.1332 7.1332 7.1332
angles (deg): 155.66 155.66 34.69
With the nearest neighbours (Å) after each atom.
Fractional coordinates of all 3 atoms:
Np 0.0000 0.0000 0.0000  4 Np 3.01, 4 Au 3.14, 4 Ag 3.24
Ag 0.3203 0.3203 0.0000  4 Au 2.96, 4 Ag 3.01, 4 Np 3.24
Au 0.6695 0.6695 0.0000  4 Ag 2.96, 4 Au 3.01, 4 Np 3.14

Results
* total moment: 4.66 μB per cell
* ΔE to the lowest computed polymorph: 108 meV/atom
* final energy: -18.8 eV/cell
* formation energy from the elements: 0.23 eV/f.u.

Entry 2:
The following is a DFT calculation (PBE) of KLi2NpCl8 after structural relaxation.

a b c (Å): 7.6547 7.6547 7.6547
angles (deg): 105.91 105.91 116.86
With the nearest neighbours (Å) after each atom.
Fractional coordinates of all 12 atoms:
K 0.0000 0.0000 0.0000  4 Cl 3.05
Li 0.5000 0.5000 0.0000  4 Cl 2.42
Li 0.7500 0.2500 0.5000  4 Cl 2.35
Np 0.2500 0.7500 0.5000  8 Cl 2.66-2.76
Cl 0.3409 0.1182 0.7772  1 Li 2.42, 1 Np 2.66
Cl 0.3409 0.5637 0.2228  1 Li 2.42, 1 Np 2.66
Cl 0.3613 0.0323 0.3290  1 Li 2.35
Cl 0.4363 0.6591 0.7772  1 Li 2.42, 1 Np 2.66
Cl 0.7032 0.0323 0.6710  1 Li 2.35
Cl 0.8818 0.6591 0.2228  1 Li 2.42, 1 Np 2.66
Cl 0.9677 0.2968 0.3290  1 Li 2.35
Cl 0.9677 0.6387 0.6710  1 Li 2.35

Results
* total moment: 1.99 μB per cell
* final energy: -51.3 eV/cell
* formation energy from raw total energies: -1.551 eV/atom

Entry 3:
The following is a DFT calculation (PBE) of FeHgRh2 after structural relaxation.

a b c (Å): 4.1245 4.1245 3.6509
angles (deg): 90.00 90.00 90.00
With the nearest neighbours (Å) after each atom.
Fractional coordinates of all 4 atoms:
Fe 0.0000 0.0000 0.0000  8 Rh 2.75, 4 Hg 2.92
Hg 0.5000 0.5000 0.0000  8 Rh 2.75, 4 Fe 2.92
Rh 0.0000 0.5000 0.5000  4 Hg 2.75, 4 Fe 2.75, 4 Rh 2.92
Rh 0.5000 0.0000 0.5000  4 Hg 2.75, 4 Fe 2.75, 4 Rh 2.92

Results
* total moment: 4.49 μB per cell
* final energy: -22.8 eV/cell
* formation energy from the elements: 0.66 eV/f.u.

> final energy of number 3 (FeHgRh2)?

-22.8 eV/cell